Entry 1:
Material: TaCr4Hg
Method: DFT, GGA-PBE
State: optimized geometry

The crystal system is cubic. For the density of states at the Fermi level, the calculation gives 1.53 states/eV/atom. As for the magnetic moment: 0.00 μB per cell. The value obtained for the formation energy is 23.4 kJ per mole of atoms.

The space group is F-43m (No. 216) and the conventional cell measures 6.9581, 6.9581 and 6.9581 Å, with angles of 90.00, 90.00 and 90.00 degrees. The distinct sites, in fractional coordinates, are Ta at (0.0000, 0.0000, 0.0000), Cr at (0.1243, 0.1243, 0.6243) and Hg at (0.2500, 0.2500, 0.2500).


Entry 2:
Material: Ca2TaTiO6
Method: DFT, GGA-PBE
State: optimized geometry

The crystal system is monoclinic. For the density of states at the Fermi level, the calculation gives 0.30 states/eV/atom. As for the magnetic moment: 0.89 μB per cell. Its uncorrected formation energy is -30.30 eV per formula unit.

The space group is P2_1/m (No. 11) and the conventional cell measures 5.4829, 7.8378 and 5.6153 Å, with angles of 90.00, 90.01 and 90.00 degrees. The distinct sites, in fractional coordinates, are Ca at (0.0058, 0.2500, 0.4603), Ca at (0.4894, 0.2500, 0.9435), Ta at (0.0000, 0.0000, 0.0000), Ti at (0.5000, 0.0000, 0.5000), O at (0.0840, 0.7500, 0.9764), O at (0.2018, 0.0432, 0.7080), O at (0.2947, 0.0419, 0.2041) and O at (0.4207, 0.7500, 0.4768).


Entry 3:
Material: Ca2Be6Pt9
Method: DFT, GGA-PBE
State: optimized geometry

The crystal system is hexagonal. For the density of states at the Fermi level, the calculation gives 0.34 states/eV/atom. As for the magnetic moment: 0.00 μB per cell. The value obtained for the formation energy is -70.0 kJ per mole of atoms.

The space group is P6/mmm (No. 191) and the conventional cell measures 5.5900, 5.5900 and 9.9844 Å, with angles of 90.00, 90.00 and 120.00 degrees. The distinct sites, in fractional coordinates, are Ca at (0.0000, 0.0000, 0.1940), Be at (0.3333, 0.6667, 0.1676), Be at (0.3333, 0.6667, 0.5000), Pt at (0.0000, 0.5000, 0.0000) and Pt at (0.0000, 0.5000, 0.3352).


Entry 4:
Material: TaRhC
Method: DFT, GGA-PBE
State: optimized geometry

The crystal system is trigonal. For the density of states at the Fermi level, the calculation gives 0.45 states/eV/atom. As for the magnetic moment: 0.00 μB per cell. The value obtained for the formation energy is 0.7 kJ per mole of atoms.

The space group is R-3m (No. 166, hexagonal axes) and the conventional cell measures 3.1389, 3.1389 and 27.7434 Å, with angles of 90.00, 90.00 and 120.00 degrees. The distinct sites, in fractional coordinates, are Ta at (0.0000, 0.0000, 0.1215), Rh at (0.0000, 0.0000, 0.3737) and C at (0.0000, 0.0000, 0.2584).


Entry 5:
Material: Be2CrNiGe
Method: DFT, GGA-PBE
State: optimized geometry

The crystal system is tetragonal. For the density of states at the Fermi level, the calculation gives 0.32 states/eV/atom. As for the magnetic moment: 4.42 μB per cell. The value obtained for the formation energy is 80.2 kJ per mole of atoms.

The space group is P4/mmm (No. 123) and the conventional cell measures 4.1453, 4.1453 and 4.3953 Å, with angles of 90.00, 90.00 and 90.00 degrees. The distinct sites, in fractional coordinates, are Be at (0.0000, 0.5000, 0.0000), Cr at (0.0000, 0.0000, 0.5000), Ni at (0.5000, 0.5000, 0.5000) and Ge at (0.5000, 0.5000, 0.0000).


Entry 6:
Material: PuCuPbAu
Method: DFT, GGA-PBE
State: optimized geometry

The crystal system is cubic. For the density of states at the Fermi level, the calculation gives 3.08 states/eV/atom. As for the magnetic moment: 22.14 μB per cell. The value obtained for the formation energy is -0.2 kJ per mole of atoms.

The space group is F-43m (No. 216) and the conventional cell measures 7.0796, 7.0796 and 7.0796 Å, with angles of 90.00, 90.00 and 90.00 degrees. The distinct sites, in fractional coordinates, are Pu at (0.0000, 0.0000, 0.0000), Cu at (0.0000, 0.0000, 0.5000), Pb at (0.2500, 0.2500, 0.2500) and Au at (0.2500, 0.2500, 0.7500).